1.
# Cr2AgPtI

An optimized crystal structure of Cr2AgPtI (PBEsol, the Alexandria database).

Cell and atoms, written as POSCAR:
```
Cr2AgPtI
1.0
-4.801 -0.364 -0.628
-0.339 -2.589 4.094
-0.672 4.286 2.654
I Cr Pt Ag
1 2 1 1
Direct
0.500 0.500 0.500
0.500 0.000 0.000
0.000 0.500 0.000
0.000 0.000 0.000
0.000 0.000 0.500
```

Properties
- SG: P4/mmm, No. 123
- Formation energy without anion corrections: 0.94 eV/atom
- Final energy: -5.562 eV per atom
- Magnetic moment: 8.32 μB per cell

=====

2.
# BiRhI2N

An optimized crystal structure of BiRhI2N (PBEsol, the Alexandria database).

Cell and atoms, written as POSCAR:
```
BiRhI2N
1.0
3.675 0.000 0.000
0.000 5.645 0.000
0.000 0.000 5.645
N I Rh Bi
1 2 1 1
Direct
0.500 0.000 0.000
0.000 0.500 0.000
0.000 0.000 0.500
0.000 0.000 0.000
0.500 0.500 0.500
```

Properties
- SG: P4/mmm, No. 123
- Formation energy without anion corrections: 0.31 eV/atom
- Final energy: -4.583 eV per atom
- Magnetic moment: 0.00 μB per cell

=====

3.
# RbPbCl2

An optimized crystal structure of RbPbCl2 (PBEsol, the Alexandria database).

Cell and atoms, written as POSCAR:
```
RbPbCl2
1.0
-5.238 1.208 -0.152
-3.673 -3.874 0.651
-2.936 -0.193 4.502
Rb Pb Cl
1 1 2
Direct
0.000 0.000 0.000
0.500 0.500 0.500
0.250 0.250 0.250
0.750 0.750 0.750
```

Properties
- SG: Fm-3m, No. 225
- Formation energy without anion corrections: -0.97 eV/atom
- Final energy: -3.233 eV per atom
- Magnetic moment: 0.00 μB per cell

=====

4.
# ZrAlIr2

An optimized crystal structure of ZrAlIr2 (PBEsol, the Alexandria database).

Cell and atoms, written as POSCAR:
```
ZrAlIr2
1.0
2.820 0.000 0.000
1.410 2.442 0.000
1.410 0.814 9.174
Al Ir Zr
1 2 1
Direct
0.259 0.259 0.223
0.746 0.746 0.762
0.997 0.997 0.009
0.498 0.498 0.505
```

Properties
- SG: R3m, No. 160
- Energy relative to the elements: -180.3 meV per atom
- Final energy: -8.387 eV per atom
- Magnetic moment: 0.00 μB per cell

=====

5.
# SrLa3Ni2O8

An optimized crystal structure of SrLa3Ni2O8 (PBEsol, the Alexandria database).

Cell and atoms, written as POSCAR:
```
SrLa3Ni2O8
1.0
5.353 0.000 0.000
0.000 5.350 0.000
-2.677 0.000 6.222
Sr O Ni La
1 8 2 3
Direct
0.640 0.000 0.281
0.672 0.500 0.345
0.244 0.746 0.994
0.244 0.254 0.994
0.325 0.500 0.649
0.173 0.000 0.345
0.750 0.254 0.994
0.750 0.746 0.994
0.837 0.000 0.673
0.504 0.500 0.009
0.001 0.000 0.003
0.136 0.500 0.272
0.860 0.500 0.720
0.364 0.000 0.728
```

Properties
- SG: Amm2, No. 38
- Formation energy without anion corrections: -2.55 eV/atom
- Final energy: -7.706 eV per atom
- Magnetic moment: 0.25 μB per cell

=====

6.
# AsPbAu2

An optimized crystal structure of AsPbAu2 (PBEsol, the Alexandria database).

Cell and atoms, written as POSCAR:
```
AsPbAu2
1.0
-0.340 -3.814 1.802
3.157 2.574 1.075
-5.206 1.758 2.739
Pb Au As
1 2 1
Direct
0.500 0.000 0.000
0.270 0.540 0.310
0.730 0.460 0.690
0.000 0.000 0.500
```

Properties
- SG: C2/m, No. 12
- Energy relative to the elements: 40.6 meV per atom
- Final energy: -4.198 eV per atom
- Magnetic moment: 0.00 μB per cell

=====

7.
# LaTa2Nb

An optimized crystal structure of LaTa2Nb (PBEsol, the Alexandria database).

Cell and atoms, written as POSCAR:
```
LaTa2Nb
1.0
-3.165 0.406 -3.627
-4.729 0.289 0.942
-2.352 4.161 -0.699
Nb Ta La
1 2 1
Direct
0.000 0.000 0.000
0.750 0.750 0.750
0.250 0.250 0.250
0.500 0.500 0.500
```

Properties
- SG: Fm-3m, No. 225
- Energy relative to the elements: 501.0 meV per atom
- Final energy: -9.816 eV per atom
- Magnetic moment: 0.00 μB per cell

=====

8.
# YBeP2

An optimized crystal structure of YBeP2 (PBEsol, the Alexandria database).

Cell and atoms, written as POSCAR:
```
YBeP2
1.0
3.952 0.000 0.000
0.000 3.949 0.000
-1.976 -1.975 4.044
Y P Be
1 2 1
Direct
0.500 0.000 0.000
0.250 0.250 0.500
0.750 0.750 0.500
0.000 0.500 0.000
```

Properties
- SG: I4/mmm, No. 139
- Energy relative to the elements: -238.9 meV per atom
- Final energy: -5.840 eV per atom
- Magnetic moment: 0.00 μB per cell

=====

9.
# CaRe2Pt

An optimized crystal structure of CaRe2Pt (PBEsol, the Alexandria database).

Cell and atoms, written as POSCAR:
```
CaRe2Pt
1.0
3.816 0.000 0.000
0.000 3.816 0.000
-1.908 -1.908 4.530
Re Ca Pt
2 1 1
Direct
0.750 0.250 0.500
0.250 0.750 0.500
0.500 0.500 0.000
0.000 0.000 0.000
```

Properties
- SG: I4/mmm, No. 139
- Energy relative to the elements: 492.6 meV per atom
- Final energy: -8.448 eV per atom
- Magnetic moment: 0.00 μB per cell

=====

10.
# Mo3W

An optimized crystal structure of Mo3W (PBEsol, the Alexandria database).

Cell and atoms, written as POSCAR:
```
Mo3W
1.0
2.721 0.000 0.000
-0.907 5.113 0.000
-0.907 -2.556 4.428
Mo W
3 1
Direct
0.000 0.000 0.500
0.000 0.500 0.000
0.500 0.500 0.500
0.500 0.000 0.000
```

Properties
- SG: R-3m, No. 166
- Energy relative to the elements: 0.9 meV per atom
- Final energy: -12.277 eV per atom
- Magnetic moment: 0.00 μB per cell

=====

11.
# ScHg2Os

An optimized crystal structure of ScHg2Os (PBEsol, the Alexandria database).

Cell and atoms, written as POSCAR:
```
ScHg2Os
1.0
3.010 0.000 0.000
1.505 2.607 0.000
1.505 0.869 9.407
Hg Os Sc
2 1 1
Direct
0.753 0.753 0.742
0.247 0.247 0.258
0.500 0.500 0.500
0.000 0.000 0.000
```

Properties
- SG: R-3m, No. 166
- Energy relative to the elements: 383.4 meV per atom
- Final energy: -4.605 eV per atom
- Magnetic moment: 0.00 μB per cell

=====

12.
# ZnAgAu2

An optimized crystal structure of ZnAgAu2 (PBEsol, the Alexandria database).

Cell and atoms, written as POSCAR:
```
ZnAgAu2
1.0
2.894 0.033 0.000
-0.033 2.894 0.000
0.000 0.000 7.643
Ag Au Zn
1 2 1
Direct
0.500 0.500 0.266
0.000 0.000 0.002
0.500 0.500 0.730
0.000 0.000 0.501
```

Properties
- SG: P4mm, No. 99
- Energy relative to the elements: -94.6 meV per atom
- Final energy: -3.280 eV per atom
- Magnetic moment: 0.00 μB per cell

=====

13.
# MgSc

An optimized crystal structure of MgSc (PBEsol, the Alexandria database).

Cell and atoms, written as POSCAR:
```
MgSc
1.0
-3.839 1.973 -2.749
2.532 -1.746 -4.788
-3.089 -5.494 0.370
Sc Mg
4 4
Direct
0.250 0.111 0.128
0.250 0.611 0.372
0.750 0.389 0.628
0.750 0.889 0.872
0.250 0.087 0.627
0.750 0.913 0.373
0.750 0.413 0.127
0.250 0.587 0.873
```

Properties
- SG: Pnma, No. 62
- Energy relative to the elements: 46.2 meV per atom
- Final energy: -4.115 eV per atom
- Magnetic moment: 1.75 μB per cell

=====

14.
# Ba2CoAu

An optimized crystal structure of Ba2CoAu (PBEsol, the Alexandria database).

Cell and atoms, written as POSCAR:
```
Ba2CoAu
1.0
5.412 0.000 0.000
2.706 4.687 0.000
2.706 1.562 4.419
Au Ba Co
1 2 1
Direct
0.500 0.500 0.500
0.750 0.750 0.750
0.250 0.250 0.250
0.000 0.000 0.000
```

Properties
- SG: Fm-3m, No. 225
- Energy relative to the elements: 127.0 meV per atom
- Final energy: -3.863 eV per atom
- Magnetic moment: 0.66 μB per cell

=====

15.
# NbCr2CoGe

An optimized crystal structure of NbCr2CoGe (PBEsol, the Alexandria database).

Cell and atoms, written as POSCAR:
```
NbCr2CoGe
1.0
4.347 0.000 0.000
0.000 4.347 0.000
0.000 0.000 4.747
Nb Cr Co Ge
1 2 1 1
Direct
0.000 0.000 0.500
0.000 0.500 0.000
0.500 0.000 0.000
0.500 0.500 0.500
0.000 0.000 0.000
```

Properties
- SG: P4/mmm, No. 123
- Energy relative to the elements: 1482.3 meV per atom
- Final energy: -7.314 eV per atom
- Magnetic moment: 6.12 μB per cell

=====

16.
# Li2CaRh

An optimized crystal structure of Li2CaRh (PBEsol, the Alexandria database).

Cell and atoms, written as POSCAR:
```
Li2CaRh
1.0
3.967 0.000 0.000
0.000 3.967 0.000
-1.984 -1.984 9.815
Rh Ca Li
2 2 4
Direct
0.000 0.000 0.000
0.250 0.750 0.500
0.750 0.250 0.500
0.500 0.500 0.000
0.314 0.875 0.250
0.936 0.375 0.250
0.625 0.686 0.750
0.125 0.064 0.750
```

Properties
- SG: I-42d, No. 122
- Energy relative to the elements: 94.2 meV per atom
- Final energy: -3.457 eV per atom
- Magnetic moment: 0.00 μB per cell

=====

17.
# LaCd2Rh2

An optimized crystal structure of LaCd2Rh2 (PBEsol, the Alexandria database).

Cell and atoms, written as POSCAR:
```
LaCd2Rh2
1.0
4.115 0.000 0.000
0.000 4.115 0.000
-2.057 -2.057 6.068
Rh La Cd
2 1 2
Direct
0.399 0.399 0.797
0.601 0.601 0.203
0.000 0.000 0.000
0.750 0.250 0.500
0.250 0.750 0.500
```

Properties
- SG: I4/mmm, No. 139
- Energy relative to the elements: -322.5 meV per atom
- Final energy: -5.126 eV per atom
- Magnetic moment: 0.00 μB per cell

=====

18.
# KCoRh

An optimized crystal structure of KCoRh (PBEsol, the Alexandria database).

Cell and atoms, written as POSCAR:
```
KCoRh
1.0
-2.041 1.081 -3.726
-3.536 -2.244 -1.293
-3.958 1.878 0.135
Co Rh K
1 1 1
Direct
0.500 0.500 0.500
0.000 0.000 0.000
0.250 0.250 0.250
```

Properties
- SG: F-43m, No. 216
- Energy relative to the elements: 2211.8 meV per atom
- Final energy: -3.458 eV per atom
- Magnetic moment: 2.43 μB per cell

=====

19.
# Co2AsOs

An optimized crystal structure of Co2AsOs (PBEsol, the Alexandria database).

Cell and atoms, written as POSCAR:
```
Co2AsOs
1.0
2.680 0.000 0.000
0.000 2.680 0.000
0.000 0.000 6.780
Co Os As
2 1 1
Direct
0.000 0.000 0.255
0.000 0.000 0.745
0.500 0.500 0.000
0.500 0.500 0.500
```

Properties
- SG: P4/mmm, No. 123
- Energy relative to the elements: 155.4 meV per atom
- Final energy: -8.044 eV per atom
- Magnetic moment: 1.32 μB per cell

=====

20.
# Hg2OsI

An optimized crystal structure of Hg2OsI (PBEsol, the Alexandria database).

Cell and atoms, written as POSCAR:
```
Hg2OsI
1.0
4.933 0.000 0.000
2.467 4.272 0.000
2.467 1.424 4.028
Os Hg I
1 2 1
Direct
0.500 0.500 0.500
0.750 0.750 0.750
0.250 0.250 0.250
0.000 0.000 0.000
```

Properties
- SG: Fm-3m, No. 225
- Formation energy without anion corrections: 1.35 eV/atom
- Final energy: -2.426 eV per atom
- Magnetic moment: 0.90 μB per cell